Record 1
# RuW2Cl, relaxed, DFT GGA-PBE
data_RuW2Cl
_chemical_formula_sum 'Ru2 W4 Cl2'
_symmetry_space_group_name_H-M 'C m m 2'
_symmetry_Int_Tables_number 35
_symmetry_space_group_name_Hall 'C 2 -2'
_cell_length_a 3.116
_cell_length_b 4.764
_cell_length_c 8.724
_cell_angle_alpha 90.00
_cell_angle_beta 90.00
_cell_angle_gamma 90.00
loop_
_atom_site_label
_atom_site_type_symbol
_atom_site_fract_x
_atom_site_fract_y
_atom_site_fract_z
Ru1 Ru 0.000 0.000 0.000
W1 W 0.000 0.000 0.514
W2 W 0.000 0.500 0.767
Cl1 Cl 0.000 0.500 0.273
# crystal system = orthorhombic
# volume = 16.19 A^3/atom
# final energy = -8.765 eV per atom
# formation energy from raw total energies = 190 kJ/mol of formula units
# mass density = 12.928 g/cm3
# Fermi-level density of states = 1.008 states/eV per atom

***

Record 2
# RuW2Cl, relaxed, DFT GGA-PBE
data_RuW2Cl
_chemical_formula_sum 'Ru4 W8 Cl4'
_symmetry_space_group_name_H-M 'F m -3 m'
_symmetry_Int_Tables_number 225
_symmetry_space_group_name_Hall '-F 4 2 3'
_cell_length_a 6.261
_cell_length_b 6.261
_cell_length_c 6.261
_cell_angle_alpha 90.00
_cell_angle_beta 90.00
_cell_angle_gamma 90.00
loop_
_atom_site_label
_atom_site_type_symbol
_atom_site_fract_x
_atom_site_fract_y
_atom_site_fract_z
Ru1 Ru 0.000 0.000 0.000
W1 W 0.250 0.250 0.250
Cl1 Cl 0.000 0.000 0.500
# crystal system = cubic
# volume = 15.34 A^3/atom
# final energy = -8.330 eV per atom
# formation energy from raw total energies = 358 kJ/mol of formula units
# mass density = 13.647 g/cm3
# Fermi-level density of states = 1.060 states/eV per atom

***

Record 3
# RuW2Cl, relaxed, DFT GGA-PBE
data_RuW2Cl
_chemical_formula_sum 'Ru2 W4 Cl2'
_symmetry_space_group_name_H-M 'I 4/m m m'
_symmetry_Int_Tables_number 139
_symmetry_space_group_name_Hall '-I 4 2'
_cell_length_a 3.769
_cell_length_b 3.769
_cell_length_c 8.840
_cell_angle_alpha 90.00
_cell_angle_beta 90.00
_cell_angle_gamma 90.00
loop_
_atom_site_label
_atom_site_type_symbol
_atom_site_fract_x
_atom_site_fract_y
_atom_site_fract_z
Ru1 Ru 0.000 0.000 0.000
W1 W 0.000 0.500 0.250
Cl1 Cl 0.000 0.000 0.500
# crystal system = tetragonal
# volume = 15.70 A^3/atom
# final energy = -8.101 eV per atom
# formation energy from raw total energies = 446 kJ/mol of formula units
# mass density = 13.332 g/cm3
# Fermi-level density of states = 0.935 states/eV per atom

***

Record 4
# RuW2Cl, relaxed, DFT GGA-PBE
data_RuW2Cl
_chemical_formula_sum 'Ru2 W4 Cl2'
_symmetry_space_group_name_H-M 'C 1 m 1'
_symmetry_Int_Tables_number 8
_symmetry_space_group_name_Hall 'C -2y'
_cell_length_a 9.775
_cell_length_b 2.911
_cell_length_c 4.519
_cell_angle_alpha 90.00
_cell_angle_beta 90.68
_cell_angle_gamma 90.00
loop_
_atom_site_label
_atom_site_type_symbol
_atom_site_fract_x
_atom_site_fract_y
_atom_site_fract_z
Ru1 Ru 0.000 0.000 0.000
W1 W 0.223 0.500 0.185
W2 W 0.432 0.000 0.459
Cl1 Cl 0.223 0.000 0.765
# crystal system = monoclinic
# volume = 16.07 A^3/atom
# final energy = -8.613 eV per atom
# formation energy from raw total energies = 249 kJ/mol of formula units
# mass density = 13.024 g/cm3
# Fermi-level density of states = 0.636 states/eV per atom